# MnTlF4, optimized geometry, DFT PBE+U
data_MnTlF4
_chemical_formula_sum 'Mn1 Tl1 F4'
_cell_length_a 3.8858
_cell_length_b 3.8858
_cell_length_c 5.6501
_cell_angle_alpha 90.00
_cell_angle_beta 90.00
_cell_angle_gamma 90.00
_symmetry_space_group_name_H-M 'P 4/m m m'
_symmetry_Int_Tables_number 123
_symmetry_space_group_name_Hall '-P 4 2'
loop_
_atom_site_label
_atom_site_fract_x
_atom_site_fract_y
_atom_site_fract_z
Mn1 0.0000 0.0000 0.0000
Tl1 0.5000 0.5000 0.5000
F1 0.0000 0.5000 0.2264
# - electronic total energy (eV per atom) = -5.0203